Record 1
First-principles (meta-GGA SCAN) data for a PBEsol-optimized structure of Ta2ZnW, as listed in the Alexandria database.

abc: 2.7045 4.1808 5.7893
angles: 90.00 90.00 90.00
Space group Pmmm (No. 47)
Inequivalent atoms, fractional coordinates:
Ta 0.0000 0.0000 0.2485
Zn 0.5000 0.5000 0.0000
W 0.5000 0.5000 0.5000

Properties
DFT total energy: -215.7 eV for the cell shown
M_tot: 0.00 μB/f.u.
Volume: 16.36 Å³ per atom

=====

Record 2
First-principles (meta-GGA SCAN) data for a PBEsol-optimized structure of LiMn2Pt, as listed in the Alexandria database.

abc: 4.2115 4.2115 5.9850
angles: 90.00 90.00 90.00
Space group I-4m2 (No. 119)
Inequivalent atoms, fractional coordinates:
Li 0.0000 0.0000 0.0000
Mn 0.0000 0.0000 0.5000
Mn 0.0000 0.5000 0.2500
Pt 0.0000 0.5000 0.7500

Properties
DFT total energy: -222.7 eV for the cell shown
M_tot: 0.03 μB/f.u.
Volume: 13.27 Å³ per atom